# 1
! Pm2YN3 | OQMD via LeMat-Bulk | PBE-GGA | optimized geometry; values from VASP
&SYSTEM
  ibrav = 0, nat = 6, ntyp = 3
/
ATOMIC_SPECIES
Pm 145.00 Pm.upf
N 14.01 N.upf
Y 88.91 Y.upf
CELL_PARAMETERS angstrom
-2.3897 -2.0045 -1.6999
2.8083 -1.5200 1.5562
-4.5429 -0.8404 7.3771
ATOMIC_POSITIONS crystal
Pm 0.3333 0.6667 0.8299
N 0.3333 0.6667 0.3400
N 0.0000 0.0000 0.0000
Y 0.0000 0.0000 0.5000
Pm 0.6667 0.3333 0.1701
N 0.6667 0.3333 0.6600
! size of the total moment = 0.00 μB/cell
! theoretical density = 7.35 g/cm³
! symmetry = No. 164
! DFT total energy = -8.335 eV per atom

=====

# 2
! PmZrN2 | OQMD via LeMat-Bulk | PBE-GGA | optimized geometry; values from VASP
&SYSTEM
  ibrav = 0, nat = 4, ntyp = 3
/
ATOMIC_SPECIES
Pm 145.00 Pm.upf
N 14.01 N.upf
Zr 91.22 Zr.upf
CELL_PARAMETERS angstrom
1.6881 0.9746 5.6596
-1.6881 0.9746 5.6596
0.0000 -1.9492 5.6596
ATOMIC_POSITIONS crystal
Pm 0.5000 0.5000 0.5000
N 0.2603 0.2603 0.2603
N 0.7397 0.7397 0.7397
Zr 0.0000 0.0000 0.0000
! size of the total moment = 0.00 μB/cell
! theoretical density = 7.85 g/cm³
! symmetry = No. 166
! DFT total energy = -9.080 eV per atom

=====

# 3
! PrN | OQMD via LeMat-Bulk | PBE-GGA | optimized geometry; values from VASP
&SYSTEM
  ibrav = 0, nat = 2, ntyp = 2
/
ATOMIC_SPECIES
N 14.01 N.upf
Pr 140.91 Pr.upf
CELL_PARAMETERS angstrom
-0.3767 -0.2499 3.6472
1.4559 2.5769 2.1785
-2.1910 2.3484 1.7862
ATOMIC_POSITIONS crystal
N 0.0000 0.0000 0.0000
Pr 0.5000 0.5000 0.5000
! size of the total moment = 0.00 μB/cell
! theoretical density = 7.33 g/cm³
! symmetry = No. 225
! DFT total energy = -7.841 eV per atom

=====

# 4
! PrN | OQMD via LeMat-Bulk | PBE-GGA | optimized geometry; values from VASP
&SYSTEM
  ibrav = 0, nat = 2, ntyp = 2
/
ATOMIC_SPECIES
Pr 140.91 Pr.upf
N 14.01 N.upf
CELL_PARAMETERS angstrom
-2.4766 0.7920 -1.7705
-1.5952 -2.4652 1.1286
-1.1026 1.7852 2.3410
ATOMIC_POSITIONS crystal
Pr 0.0000 0.0000 0.0000
N 0.5000 0.5000 0.5000
! size of the total moment = 0.00 μB/cell
! theoretical density = 8.27 g/cm³
! symmetry = No. 221
! DFT total energy = -7.080 eV per atom

=====

# 5
! PrN | OQMD via LeMat-Bulk | PBE-GGA | optimized geometry; values from VASP
&SYSTEM
  ibrav = 0, nat = 2, ntyp = 2
/
ATOMIC_SPECIES
Pr 140.91 Pr.upf
N 14.01 N.upf
CELL_PARAMETERS angstrom
3.5191 0.0000 0.0000
-1.7596 3.0475 0.0000
0.0000 0.0000 3.2073
ATOMIC_POSITIONS crystal
Pr 0.3333 0.6667 0.2500
N 0.6667 0.3333 0.7500
! size of the total moment = 0.00 μB/cell
! theoretical density = 7.48 g/cm³
! symmetry = No. 187
! DFT total energy = -7.483 eV per atom

=====

# 6
! PrN | OQMD via LeMat-Bulk | PBE-GGA | optimized geometry; values from VASP
&SYSTEM
  ibrav = 0, nat = 8, ntyp = 2
/
ATOMIC_SPECIES
Pr 140.91 Pr.upf
N 14.01 N.upf
CELL_PARAMETERS angstrom
-3.2492 -2.0462 5.4983
-2.4645 -1.7627 -2.1124
3.6424 -5.3057 0.1779
ATOMIC_POSITIONS crystal
Pr 0.2500 0.0000 0.0045
N 0.7500 0.0000 0.6311
Pr 0.7500 0.0000 0.9955
Pr 0.5000 0.5000 0.5000
N 0.7500 0.5000 0.2061
N 0.2500 0.0000 0.3689
Pr 0.0000 0.5000 0.5000
N 0.2500 0.5000 0.7939
! size of the total moment = 0.06 μB/cell
! theoretical density = 6.45 g/cm³
! symmetry = No. 51
! DFT total energy = -7.327 eV per atom

=====

# 7
! PrN | OQMD via LeMat-Bulk | PBE-GGA | optimized geometry; values from VASP
&SYSTEM
  ibrav = 0, nat = 2, ntyp = 2
/
ATOMIC_SPECIES
Pr 140.91 Pr.upf
N 14.01 N.upf
CELL_PARAMETERS angstrom
0.0000 2.7698 2.7698
2.7698 0.0000 2.7698
2.7698 2.7698 0.0000
ATOMIC_POSITIONS crystal
Pr 0.2500 0.2500 0.2500
N 0.0000 0.0000 0.0000
! size of the total moment = 0.00 μB/cell
! theoretical density = 6.05 g/cm³
! symmetry = No. 216
! DFT total energy = -7.721 eV per atom

=====

# 8
! Pr5N | OQMD via LeMat-Bulk | PBE-GGA | optimized geometry; values from VASP
&SYSTEM
  ibrav = 0, nat = 6, ntyp = 2
/
ATOMIC_SPECIES
Pr 140.91 Pr.upf
N 14.01 N.upf
CELL_PARAMETERS angstrom
6.1671 0.0000 0.0000
-3.0835 5.3408 0.0000
0.0000 0.0000 6.3048
ATOMIC_POSITIONS crystal
Pr 0.3333 0.6667 0.0000
Pr 0.6667 0.3333 0.0000
Pr 0.5000 0.0000 0.5000
Pr 0.5000 0.5000 0.5000
N 0.0000 0.0000 0.0000
Pr 0.0000 0.5000 0.5000
! size of the total moment = 0.84 μB/cell
! theoretical density = 5.75 g/cm³
! symmetry = No. 191
! DFT total energy = -4.041 eV per atom

=====

# 9
! Pr2Pt8N | OQMD via LeMat-Bulk | PBE-GGA | optimized geometry; values from VASP
&SYSTEM
  ibrav = 0, nat = 11, ntyp = 3
/
ATOMIC_SPECIES
Pt 195.08 Pt.upf
N 14.01 N.upf
Pr 140.91 Pr.upf
CELL_PARAMETERS angstrom
-3.7156 1.9933 -1.2129
-3.0086 -7.5421 -3.1782
0.3199 4.9572 7.1665
ATOMIC_POSITIONS crystal
Pt 0.0000 0.4996 0.9878
Pt 0.5000 0.9392 0.9392
N 0.0000 0.2481 0.2481
Pt 0.5000 0.7994 0.1941
Pt 0.0000 0.9878 0.4996
Pr 0.5000 0.6123 0.3687
Pt 0.0000 0.1278 0.9266
Pt 0.0000 0.6099 0.6099
Pt 0.0000 0.9266 0.1278
Pr 0.5000 0.3687 0.6123
Pt 0.5000 0.1941 0.7994
! size of the total moment = 0.00 μB/cell
! theoretical density = 15.54 g/cm³
! symmetry = No. 38
! DFT total energy = -6.575 eV per atom

=====

# 10
! PrPu2N4 | OQMD via LeMat-Bulk | PBE-GGA | optimized geometry; values from VASP
&SYSTEM
  ibrav = 0, nat = 14, ntyp = 3
/
ATOMIC_SPECIES
N 14.01 N.upf
Pu 244.00 Pu.upf
Pr 140.91 Pr.upf
CELL_PARAMETERS angstrom
1.7198 -5.6692 0.0000
1.7198 5.6692 0.0000
0.0000 0.0000 10.5727
ATOMIC_POSITIONS crystal
N 0.5000 0.5000 0.5000
N 0.2294 0.7706 0.6032
Pu 0.1324 0.8676 0.4312
Pu 0.1324 0.8676 0.0688
Pr 0.3934 0.6066 0.2500
Pr 0.6066 0.3934 0.7500
Pu 0.8676 0.1324 0.5688
N 0.0465 0.9535 0.2500
Pu 0.8676 0.1324 0.9312
N 0.7706 0.2294 0.3968
N 0.9535 0.0465 0.7500
N 0.2294 0.7706 0.8968
N 0.5000 0.5000 0.0000
N 0.7706 0.2294 0.1032
! size of the total moment = 14.02 μB/cell
! theoretical density = 11.03 g/cm³
! symmetry = No. 63
! DFT total energy = -10.704 eV per atom

=====

# 11
! Pr3Re5N12 | OQMD via LeMat-Bulk | PBE-GGA | optimized geometry; values from VASP
&SYSTEM
  ibrav = 0, nat = 80, ntyp = 3
/
ATOMIC_SPECIES
N 14.01 N.upf
Re 186.21 Re.upf
Pr 140.91 Pr.upf
CELL_PARAMETERS angstrom
0.3771 -10.5480 3.7409
-10.6757 3.1174 -1.3073
5.3138 0.6648 -9.8346
ATOMIC_POSITIONS crystal
N 0.1917 0.1117 0.0093
Re 0.2500 0.6250 0.3750
N 0.9200 0.1117 0.6024
N 0.9200 0.3083 0.3176
Pr 0.2500 0.8750 0.6250
Pr 0.2500 0.3750 0.1250
N 0.8883 0.9907 0.8083
Re 0.3750 0.2500 0.6250
Pr 0.1250 0.3750 0.7500
Re 0.5000 0.5000 0.0000
N 0.1117 0.0093 0.1917
N 0.3976 0.8176 0.5093
Re 0.7500 0.8750 0.1250
Re 0.7500 0.3750 0.6250
Re 0.6250 0.7500 0.3750
N 0.8083 0.4200 0.8176
N 0.0093 0.3176 0.8976
N 0.4200 0.1024 0.6117
N 0.1024 0.6117 0.4200
Re 0.0000 0.0000 0.5000
N 0.6117 0.6917 0.5093
Re 0.5000 0.0000 0.0000
Pr 0.8750 0.7500 0.6250
N 0.3883 0.3083 0.4907
Pr 0.7500 0.1250 0.3750
N 0.8176 0.5093 0.3976
N 0.8976 0.3883 0.5800
N 0.3083 0.4907 0.3883
Pr 0.3750 0.7500 0.1250
Re 0.3750 0.6250 0.7500
Pr 0.8750 0.6250 0.2500
N 0.0093 0.1917 0.1117
N 0.8883 0.3976 0.0800
N 0.6024 0.9200 0.1117
N 0.9907 0.6824 0.1024
Re 0.1250 0.7500 0.8750
N 0.1917 0.5800 0.1824
Pr 0.7500 0.6250 0.8750
N 0.4907 0.3883 0.3083
N 0.0800 0.6917 0.6824
N 0.9907 0.8083 0.8883
N 0.4907 0.6024 0.1824
N 0.4200 0.8176 0.8083
N 0.3176 0.8976 0.0093
N 0.3176 0.9200 0.3083
Re 0.8750 0.2500 0.1250
N 0.5093 0.3976 0.8176
N 0.8083 0.8883 0.9907
N 0.1117 0.6024 0.9200
Re 0.0000 0.0000 0.0000
N 0.1024 0.9907 0.6824
N 0.8976 0.0093 0.3176
N 0.6917 0.5093 0.6117
Pr 0.3750 0.1250 0.2500
N 0.5800 0.1824 0.1917
Pr 0.6250 0.2500 0.8750
N 0.6117 0.4200 0.1024
N 0.8176 0.8083 0.4200
N 0.5800 0.8976 0.3883
N 0.6824 0.1024 0.9907
N 0.0800 0.8883 0.3976
N 0.6917 0.6824 0.0800
Re 0.0000 0.5000 0.0000
Re 0.5000 0.0000 0.5000
Re 0.1250 0.8750 0.2500
Re 0.5000 0.5000 0.5000
Pr 0.1250 0.2500 0.3750
N 0.1824 0.1917 0.5800
N 0.3976 0.0800 0.8883
Re 0.8750 0.1250 0.7500
Re 0.6250 0.3750 0.2500
N 0.6824 0.0800 0.6917
Re 0.2500 0.1250 0.8750
Pr 0.6250 0.8750 0.7500
N 0.1824 0.4907 0.6024
Re 0.0000 0.5000 0.5000
N 0.6024 0.1824 0.4907
N 0.3083 0.3176 0.9200
N 0.5093 0.6117 0.6917
N 0.3883 0.5800 0.8976
! size of the total moment = 0.04 μB/cell
! theoretical density = 9.35 g/cm³
! symmetry = No. 230
! DFT total energy = -9.293 eV per atom

=====

# 12
! Pr3Re2N6 | OQMD via LeMat-Bulk | PBE-GGA | optimized geometry; values from VASP
&SYSTEM
  ibrav = 0, nat = 11, ntyp = 3
/
ATOMIC_SPECIES
N 14.01 N.upf
Pr 140.91 Pr.upf
Re 186.21 Re.upf
CELL_PARAMETERS angstrom
-1.9643 1.9643 9.8979
1.9643 -1.9643 9.8979
1.9643 1.9643 -9.8979
ATOMIC_POSITIONS crystal
N 0.6964 0.6964 0.0000
N 0.4124 0.9124 0.5000
Pr 0.0000 0.0000 0.0000
Re 0.4086 0.4086 0.0000
N 0.0876 0.5876 0.5000
N 0.3036 0.3036 0.0000
N 0.5876 0.0876 0.5000
Pr 0.1853 0.1853 0.0000
N 0.9124 0.4124 0.5000
Pr 0.8147 0.8147 0.0000
Re 0.5914 0.5914 0.0000
! size of the total moment = 0.00 μB/cell
! theoretical density = 9.56 g/cm³
! symmetry = No. 139
! DFT total energy = -8.931 eV per atom